Computed, not measured: a geometry-optimized CoTe2O structure at the GGA+U level of DFT.

a = 6.8171 Å, b = 6.8171 Å, c = 6.8171 Å
α = 34.56°, β = 34.56°, γ = 34.56°
Last column: nearest neighbours and their distance in Å.
Sites, in units of the cell vectors:
O (0.0000, 0.0000, 0.0000)  2 Te 2.00
Te (0.8958, 0.8958, 0.8958)  1 O 2.00
Te (0.1042, 0.1042, 0.1042)  1 O 2.00
Co (0.5000, 0.5000, 0.5000)  6 Te 2.63

Space group: R-3m (166)

Computed, not measured: a geometry-optimized Co2Te3O8 structure at the GGA+U level of DFT.

a = 6.9578 Å, b = 6.9578 Å, c = 11.7206 Å
α = 81.86°, β = 81.86°, γ = 44.68°
Last column: nearest neighbours and their distance in Å.
Sites, in units of the cell vectors:
Te (0.8474, 0.1526, 0.7500)  4 O 1.91-2.12
Te (0.0532, 0.6738, 0.5552)  3 O 1.91-1.98
Te (0.1526, 0.8474, 0.2500)  4 O 1.91-2.12
Te (0.6738, 0.0532, 0.0552)  3 O 1.91-1.98
Te (0.3262, 0.9468, 0.9448)  3 O 1.91-1.98
Te (0.9468, 0.3262, 0.4448)  3 O 1.91-1.98
O (0.1507, 0.0095, 0.6430)  1 Te 1.91, 1 Co 2.05
O (0.0126, 0.7593, 0.1380)  2 Te 1.98-2.12, 1 Co 2.20
O (0.2717, 0.2547, 0.9711)  1 Te 1.96, 1 Co 2.16
O (0.2547, 0.2717, 0.4711)  1 Te 1.96, 1 Co 2.16
O (0.9905, 0.8493, 0.8570)  1 Te 1.91, 1 Co 2.05
O (0.4375, 0.1682, 0.1920)  1 Te 1.91, 2 Co 2.06-2.08
O (0.7283, 0.7453, 0.0289)  1 Te 1.96, 1 Co 2.16
O (0.9874, 0.2407, 0.8620)  2 Te 1.98-2.12, 1 Co 2.20
O (0.0095, 0.1507, 0.1430)  1 Te 1.91, 1 Co 2.05
O (0.1682, 0.4375, 0.6920)  1 Te 1.91, 2 Co 2.06-2.08
O (0.8318, 0.5625, 0.3080)  1 Te 1.91, 2 Co 2.06-2.08
O (0.5625, 0.8318, 0.8080)  1 Te 1.91, 2 Co 2.06-2.08
O (0.8493, 0.9905, 0.3570)  1 Te 1.91, 1 Co 2.05
O (0.7593, 0.0126, 0.6380)  2 Te 1.98-2.12, 1 Co 2.20
O (0.7453, 0.7283, 0.5289)  1 Te 1.96, 1 Co 2.16
O (0.2407, 0.9874, 0.3620)  2 Te 1.98-2.12, 1 Co 2.20
Co (0.9660, 0.5743, 0.8514)  5 O 2.05-2.20
Co (0.0340, 0.4257, 0.1486)  5 O 2.05-2.20
Co (0.4257, 0.0340, 0.6486)  5 O 2.05-2.20
Co (0.5743, 0.9660, 0.3514)  5 O 2.05-2.20

Space group: C2/c (15)

Computed, not measured: a geometry-optimized Co3TeO structure at the GGA+U level of DFT.

a = 4.7940 Å, b = 4.7940 Å, c = 4.7940 Å
α = 90.00°, β = 90.00°, γ = 90.00°
Last column: nearest neighbours and their distance in Å.
Sites, in units of the cell vectors:
Co (0.0000, 0.0000, 0.5000)  2 Te 2.40
Co (0.0000, 0.5000, 0.0000)  2 Te 2.40
Co (0.5000, 0.0000, 0.0000)  2 Te 2.40
O (0.5000, 0.5000, 0.5000)  12 Co 3.39
Te (0.0000, 0.0000, 0.0000)  6 Co 2.40

Energy above the lowest structure with this stoichiometry in eV/atom: 1.1739
Space group: Pm-3m (221)

Asked for DFT total energy across the records above, the calculation gives -4.1729, -5.6428, -3.2411 eV/atom in order.